TlAgSnS3 | PBE-GGA | optimized geometry

a = 3.775 Å, b = 14.260 Å, c = 10.711 Å
α = 90.00°, β = 90.00°, γ = 90.00°
Space group Cmcm (No. 63)
Unique sites:
Tl 0.000 0.198 0.250 (multiplicity 4)
Ag 0.000 0.121 0.750 (multiplicity 4)
Sn 0.000 0.500 0.000 (multiplicity 4)
S 0.000 0.125 0.522 (multiplicity 8)
S 0.000 0.461 0.750 (multiplicity 4)

Computed properties:
polymorph energy (0 for the lowest one)	0.0492	eV/atom
final energy	-3.86	eV per atom